[1]
First-principles (PBE-GGA) data for a relaxed HfTiRh2 crystal, as listed in Alexandria via LeMat-Bulk.

Structure (POSCAR):
```
HfTiRh2
1.0
-1.325 -2.696 3.396
5.028 -2.580 -0.086
-0.397 4.490 3.410
Ti Hf Rh
2 2 4
Cartesian
2.015 -1.970 3.762
1.291 1.184 2.957
3.944 -2.274 1.248
-0.638 1.487 5.472
1.430 -0.941 1.325
-0.390 -0.780 3.769
1.876 0.154 5.395
3.696 -0.007 2.951
```

Values from the calculation:
Magnetization   0.00 μB/f.u.
Formation energy from the elements   -76 kJ per mole of atoms
Electronic total energy   -8.93 eV per atom


[2]
First-principles (PBE-GGA) data for a relaxed Sn2Sb2S crystal, as listed in Alexandria via LeMat-Bulk.

Structure (POSCAR):
```
Sn2Sb2S
1.0
-3.527 -5.208 -4.840
-3.626 -3.329 6.225
-3.443 2.802 -0.506
Sb Sn S
4 4 2
Cartesian
-4.007 -4.283 3.538
-1.794 -2.028 0.974
-3.146 -4.254 -2.152
-5.359 -6.509 0.412
-3.498 -0.954 -1.209
-4.481 -1.393 3.043
-7.098 -4.781 2.088
-6.115 -4.342 -2.164
-3.577 -4.269 0.693
0.000 0.000 0.000
```

Values from the calculation:
ΔE_f (raw)   168 meV/atom
Magnetization   0.00 μB/f.u.
E above lowest polymorph   0.022 eV per atom
Electronic total energy   -3.91 eV per atom


[3]
First-principles (PBE-GGA) data for a relaxed SrMg6In4 crystal, as listed in Alexandria via LeMat-Bulk.

Structure (POSCAR):
```
SrMg6In4
1.0
-0.791 3.385 3.107
-8.057 -2.290 0.445
5.630 -3.439 5.180
Mg Sr In
6 1 4
Cartesian
-0.658 -2.381 5.926
-1.679 -2.826 2.652
2.410 -1.509 5.756
0.266 -0.200 3.784
-4.886 -3.737 2.829
-3.920 -1.457 0.590
0.000 0.000 0.000
1.068 -3.056 3.602
-3.459 -2.213 5.029
-2.481 0.097 2.761
-5.729 -0.826 2.941
```

Values from the calculation:
Magnetization   0.00 μB/f.u.
Formation energy from the elements   -16 kJ per mole of atoms
Electronic total energy   -2.18 eV per atom


[4]
First-principles (PBE-GGA) data for a relaxed KLaCu2 crystal, as listed in Alexandria via LeMat-Bulk.

Structure (POSCAR):
```
KLaCu2
1.0
5.407 0.009 0.008
-0.016 5.407 0.008
-0.004 -0.004 3.484
La Cu K
1 2 1
Cartesian
-0.010 2.702 1.746
2.696 2.708 0.008
0.000 0.000 0.000
2.702 0.002 1.746
```

Values from the calculation:
Magnetization   0.00 μB/f.u.
Formation energy from the elements   24 kJ per mole of atoms
E above lowest polymorph   0.166 eV per atom
Electronic total energy   -3.30 eV per atom


[5]
First-principles (PBE-GGA) data for a relaxed Li2Tb3Se4 crystal, as listed in Alexandria via LeMat-Bulk.

Structure (POSCAR):
```
Li2Tb3Se4
1.0
3.906 0.000 0.961
1.849 6.777 0.901
-0.031 0.015 8.547
Tb Se Li
3 4 2
Cartesian
4.156 3.906 8.362
1.568 2.885 2.047
0.000 0.000 0.000
2.486 5.588 6.732
2.168 1.854 8.025
3.238 1.204 3.677
3.556 4.938 2.384
2.653 0.345 6.053
3.070 6.447 4.356
```

Values from the calculation:
ΔE_f (raw)   -1499 meV/atom
Magnetization   0.00 μB/f.u.
Electronic total energy   -5.02 eV per atom


[6]
First-principles (PBE-GGA) data for a relaxed Tm7Ag2Pb2 crystal, as listed in Alexandria via LeMat-Bulk.

Structure (POSCAR):
```
Tm7Ag2Pb2
1.0
-4.012 3.815 4.217
-5.752 -2.342 -3.355
0.639 -6.149 3.196
Tm Ag Pb
7 2 2
Cartesian
-7.954 -0.995 3.329
-1.171 -3.681 0.729
-2.857 -4.848 4.435
-6.034 -2.938 1.171
-3.091 -1.738 2.888
-6.268 0.172 -0.377
0.000 0.000 0.000
-2.690 0.982 3.926
-6.435 -5.658 0.132
-5.624 -3.073 4.362
-3.501 -1.604 -0.303
```

Values from the calculation:
Magnetization   0.00 μB/f.u.
Formation energy from the elements   -2 kJ per mole of atoms
Electronic total energy   -4.06 eV per atom


[7]
First-principles (PBE-GGA) data for a relaxed ErSiRh3 crystal, as listed in Alexandria via LeMat-Bulk.

Structure (POSCAR):
```
ErSiRh3
1.0
6.090 1.122 -0.130
-1.936 5.882 0.130
-3.228 -2.819 4.471
Si Er Rh
2 2 6
Cartesian
1.431 -0.849 2.171
2.077 3.502 0.000
2.198 3.388 3.321
-1.273 0.797 1.150
1.500 1.477 1.311
1.494 5.462 1.150
-0.575 2.708 3.160
-0.568 -1.277 3.321
-3.159 -0.494 3.612
-2.006 3.556 0.989
```

Values from the calculation:
ΔE_f (raw)   -721 meV/atom
Magnetization   0.00 μB/f.u.
E above lowest polymorph   0.082 eV per atom
Electronic total energy   -7.13 eV per atom


[8]
First-principles (PBE-GGA) data for a relaxed Er8Ag3Sn2 crystal, as listed in Alexandria via LeMat-Bulk.

Structure (POSCAR):
```
Er8Ag3Sn2
1.0
5.294 0.000 0.719
0.000 8.689 0.000
-1.051 -4.345 7.744
Ag Er Sn
3 8 2
Cartesian
0.000 5.967 0.000
0.000 2.723 0.000
2.647 0.000 0.359
-0.823 4.345 6.062
5.065 0.000 2.400
2.411 6.238 2.101
-0.353 4.345 2.603
4.596 0.000 5.859
2.411 2.451 2.101
1.832 -1.894 6.362
1.832 1.894 6.362
2.164 0.000 3.913
2.079 4.345 4.549
```

Values from the calculation:
Magnetization   0.00 μB/f.u.
Formation energy from the elements   -18 kJ per mole of atoms
Electronic total energy   -4.27 eV per atom


[9]
First-principles (PBE-GGA) data for a relaxed UPa2S3 crystal, as listed in Alexandria via LeMat-Bulk.

Structure (POSCAR):
```
UPa2S3
1.0
-1.782 6.240 1.894
-4.118 -4.456 2.981
10.174 -1.556 6.548
Pa S U
8 12 4
Cartesian
-0.889 3.120 0.949
1.519 2.899 3.944
3.923 2.677 6.935
3.614 -0.332 4.495
6.331 2.456 9.930
0.660 0.560 6.928
-1.748 0.782 3.933
6.022 -0.554 7.490
0.933 0.211 4.201
6.307 -0.881 4.771
6.609 2.130 7.201
-2.029 1.131 6.651
-4.439 1.343 3.668
0.092 -2.118 7.191
3.014 -3.002 4.776
-1.461 0.442 1.207
3.336 -0.006 7.224
5.420 -3.236 7.761
-2.319 -1.907 4.208
-1.162 3.469 3.676
3.072 0.339 9.928
2.755 -2.670 7.479
1.202 -0.111 1.495
0.351 -2.449 4.488
```

Values from the calculation:
ΔE_f (raw)   -1534 meV/atom
Magnetization   3.37 μB/f.u.
Electronic total energy   -8.64 eV per atom


[10]
First-principles (PBE-GGA) data for a relaxed SrLi2TmHg4 crystal, as listed in Alexandria via LeMat-Bulk.

Structure (POSCAR):
```
SrLi2TmHg4
1.0
5.047 0.000 0.000
2.523 4.371 0.000
2.523 1.457 8.838
Hg Li Sr Tm
4 2 1 1
Cartesian
5.047 2.914 7.386
5.047 2.914 1.453
7.570 4.371 3.409
2.523 1.457 5.429
7.570 4.371 6.400
2.523 1.457 2.438
0.000 0.000 0.000
5.047 2.914 4.419
```

Values from the calculation:
Magnetization   0.00 μB/f.u.
Formation energy from the elements   -39 kJ per mole of atoms
Electronic total energy   -1.80 eV per atom


[11]
First-principles (PBE-GGA) data for a relaxed AcTmOs crystal, as listed in Alexandria via LeMat-Bulk.

Structure (POSCAR):
```
AcTmOs
1.0
6.580 0.000 0.000
-3.290 6.948 0.000
0.000 0.000 7.374
Os Ac Tm
4 4 4
Cartesian
0.000 5.482 3.400
0.000 1.466 7.087
3.290 5.482 0.286
3.290 1.466 3.973
3.290 4.239 2.918
0.000 4.239 0.769
3.290 2.709 6.605
0.000 2.709 4.456
-1.645 6.543 5.530
4.935 0.405 1.843
1.645 6.543 5.530
1.645 0.405 1.843
```

Values from the calculation:
Magnetization   0.00 μB/f.u.
Formation energy from the elements   -8 kJ per mole of atoms
E above lowest polymorph   0.000 eV per atom
Electronic total energy   -6.69 eV per atom


[12]
First-principles (PBE-GGA) data for a relaxed DyNp3Tl3Te8 crystal, as listed in Alexandria via LeMat-Bulk.

Structure (POSCAR):
```
DyNp3Tl3Te8
1.0
8.875 0.000 0.000
-4.438 7.682 -0.027
0.000 -5.093 8.233
Te Tl Np Dy
8 3 3 1
Cartesian
4.438 0.022 5.864
4.438 2.560 2.352
6.650 -1.268 2.366
2.226 -1.268 2.367
2.212 3.857 5.840
-2.212 3.857 5.840
0.000 0.029 5.855
0.000 2.567 2.342
0.000 0.000 0.000
2.219 3.841 -0.013
-2.219 3.841 -0.013
2.219 1.295 4.103
4.438 -2.546 4.117
-2.219 1.295 4.103
0.000 -2.546 4.117
```

Values from the calculation:
ΔE_f (raw)   -700 meV/atom
Magnetization   11.00 μB/f.u.
Electronic total energy   -5.74 eV per atom